Material: Ti3Ni2Au
Method: DFT, GGA-PBE
State: relaxed

Properties
Energy, eV per atom: -6.78
DFT formation energy, meV/atom: -356
V, Å³/atom: 14.66

a b c (Å): 4.3136 4.3136 5.4577
angles (deg): 90.00 90.00 120.00
Closest atoms and distances in Å follow each position.
Sites, in units of the cell vectors:
1 Ti 0.0000 0.0000 0.5000  2 Au 2.73, 6 Ti 2.80, 6 Ni 2.85
2 Ti 0.3333 0.6667 0.7360  5 Ni 2.49-2.78
3 Ti 0.6667 0.3333 0.2640  5 Ni 2.49-2.78
4 Ni 0.3333 0.6667 0.2458  5 Ti 2.49-2.78
5 Ni 0.6667 0.3333 0.7542  5 Ti 2.49-2.78
6 Au 0.0000 0.0000 0.0000  8 Ti 2.73-2.88, 6 Ni 2.83



Material: TiNiAu
Method: DFT, GGA-PBE
State: relaxed

Properties
Energy, eV per atom: -5.99
DFT formation energy, meV/atom: -334
V, Å³/atom: 15.64

a b c (Å): 3.6064 6.2885 8.2770
angles (deg): 90.00 90.00 90.00
Closest atoms and distances in Å follow each position.
Sites, in units of the cell vectors:
1 Au 0.2500 0.8517 0.4129  5 Ti 2.73-2.89, 4 Ni 2.76-2.80, 2 Au 2.97
2 Au 0.7500 0.3517 0.0871  5 Ti 2.73-2.89, 4 Ni 2.76-2.80, 2 Au 2.97
3 Au 0.2500 0.6483 0.9129  5 Ti 2.73-2.89, 4 Ni 2.76-2.80, 2 Au 2.97
4 Au 0.7500 0.1483 0.5871  5 Ti 2.73-2.89, 4 Ni 2.76-2.80, 2 Au 2.97
5 Ti 0.7500 0.7723 0.1690  4 Ni 2.43-2.62
6 Ti 0.7500 0.7277 0.6690  4 Ni 2.43-2.62
7 Ti 0.2500 0.2277 0.8310  4 Ni 2.43-2.62
8 Ti 0.2500 0.2723 0.3310  4 Ni 2.43-2.62
9 Ni 0.7500 0.5156 0.3967  4 Ti 2.43-2.62, 2 Ni 2.49
10 Ni 0.7500 0.9844 0.8967  4 Ti 2.43-2.62, 2 Ni 2.49
11 Ni 0.2500 0.0156 0.1033  4 Ti 2.43-2.62, 2 Ni 2.49
12 Ni 0.2500 0.4844 0.6033  4 Ti 2.43-2.62, 2 Ni 2.49



Which value of V does entry 1 give? 14.66 Å³/atom